Here is a relaxed structure of FeHg2Cl from Alexandria. Energies are from PBE.

## Properties
Total magnetic moment   3.03 μB per formula unit
E_form (uncorrected)   0.17 eV per atom
Calculated density   9.60 g cm⁻³

Cell: 3.441 3.441 24.910 Å, 90.00 90.00 120.00°
Fractional coordinates of all 12 atoms:
Fe (0.000, 0.000, 0.000)
Fe (0.333, 0.667, 0.667)
Fe (0.667, 0.333, 0.333)
Hg (0.000, 0.000, 0.255)
Hg (0.000, 0.000, 0.745)
Hg (0.333, 0.667, 0.411)
Hg (0.333, 0.667, 0.922)
Hg (0.667, 0.333, 0.078)
Hg (0.667, 0.333, 0.589)
Cl (0.000, 0.000, 0.500)
Cl (0.333, 0.667, 0.167)
Cl (0.667, 0.333, 0.833)